1.
Compound: LaSmHoZr
Source: the Alexandria database
Functional: PBE-GGA
Structure: relaxed

Values from the calculation:
total energy	-5.485	eV/atom
magnetic moment	0.5	Bohr magnetons per cell
DOS at the Fermi energy	7.66	states/eV/f.u.
energy of formation from the pure elements	208	meV/atom
space group	F-43m, No. 216

Lattice parameters (Å, degrees): 7.842 7.842 7.842 90.00 90.00 90.00
Fractional coordinates of all 16 atoms:
1 La 0.000 0.000 0.000
2 La 0.000 0.500 0.500
3 La 0.500 0.000 0.500
4 La 0.500 0.500 0.000
5 Sm 0.000 0.000 0.500
6 Sm 0.000 0.500 0.000
7 Sm 0.500 0.000 0.000
8 Sm 0.500 0.500 0.500
9 Ho 0.250 0.250 0.250
10 Ho 0.250 0.750 0.750
11 Ho 0.750 0.250 0.750
12 Ho 0.750 0.750 0.250
13 Zr 0.250 0.250 0.750
14 Zr 0.250 0.750 0.250
15 Zr 0.750 0.250 0.250
16 Zr 0.750 0.750 0.750


2.
Compound: LaHo2Sn
Source: the Alexandria database
Functional: PBE-GGA
Structure: relaxed

Values from the calculation:
total energy	-4.936	eV/atom
magnetic moment	0.0	Bohr magnetons per cell
DOS at the Fermi energy	6.17	states/eV/f.u.
energy of formation from the pure elements	-414	meV/atom
space group	P4/mmm, No. 123

Lattice parameters (Å, degrees): 4.920 4.920 4.797 90.00 90.00 90.00
Fractional coordinates of all 4 atoms:
1 La 0.000 0.000 0.000
2 Ho 0.000 0.500 0.500
3 Ho 0.500 0.000 0.500
4 Sn 0.500 0.500 0.000


3.
Compound: LaHo2Sn
Source: the Alexandria database
Functional: PBE-GGA
Structure: relaxed

Values from the calculation:
total energy	-4.692	eV/atom
magnetic moment	0.0	Bohr magnetons per cell
DOS at the Fermi energy	5.55	states/eV/f.u.
energy of formation from the pure elements	-171	meV/atom
space group	R3m, No. 160

Lattice parameters (Å, degrees): 5.189 5.189 17.006 90.00 90.00 120.00
Fractional coordinates of all 12 atoms:
1 La 0.000 0.000 0.000
2 La 0.333 0.667 0.667
3 La 0.667 0.333 0.333
4 Ho 0.000 0.000 0.216
5 Ho 0.000 0.000 0.446
6 Ho 0.333 0.667 0.112
7 Ho 0.333 0.667 0.882
8 Ho 0.667 0.333 0.549
9 Ho 0.667 0.333 0.779
10 Sn 0.000 0.000 0.798
11 Sn 0.333 0.667 0.464
12 Sn 0.667 0.333 0.131


4.
Compound: La6HoSn
Source: the Alexandria database
Functional: PBE-GGA
Structure: relaxed

Values from the calculation:
total energy	-4.982	eV/atom
magnetic moment	0.0	Bohr magnetons per cell
DOS at the Fermi energy	9.37	states/eV/f.u.
energy of formation from the pure elements	-214	meV/atom
space group	P4/mmm, No. 123

Lattice parameters (Å, degrees): 5.090 5.090 10.399 90.00 90.00 90.00
Fractional coordinates of all 8 atoms:
1 La 0.000 0.000 0.000
2 La 0.000 0.000 0.500
3 La 0.000 0.500 0.242
4 La 0.000 0.500 0.758
5 La 0.500 0.000 0.242
6 La 0.500 0.000 0.758
7 Ho 0.500 0.500 0.500
8 Sn 0.500 0.500 0.000


5.
Compound: LaHo3Sn3
Source: the Alexandria database
Functional: PBE-GGA
Structure: relaxed

Values from the calculation:
total energy	-4.945	eV/atom
magnetic moment	0.0	Bohr magnetons per cell
DOS at the Fermi energy	7.13	states/eV/f.u.
energy of formation from the pure elements	-564	meV/atom
space group	P6_3/m, No. 176

Lattice parameters (Å, degrees): 9.285 9.285 5.386 90.00 90.00 120.00
Fractional coordinates of all 14 atoms:
1 La 0.333 0.667 0.250
2 La 0.667 0.333 0.750
3 Ho 0.002 0.238 0.250
4 Ho 0.236 0.998 0.250
5 Ho 0.238 0.236 0.750
6 Ho 0.762 0.764 0.250
7 Ho 0.764 0.002 0.750
8 Ho 0.998 0.762 0.750
9 Sn 0.073 0.446 0.750
10 Sn 0.373 0.927 0.750
11 Sn 0.446 0.373 0.250
12 Sn 0.554 0.627 0.750
13 Sn 0.627 0.073 0.250
14 Sn 0.927 0.554 0.250


6.
Compound: La5HoSn5
Source: the Alexandria database
Functional: PBE-GGA
Structure: relaxed

Values from the calculation:
total energy	-5.012	eV/atom
magnetic moment	0.0	Bohr magnetons per cell
DOS at the Fermi energy	9.25	states/eV/f.u.
energy of formation from the pure elements	-537	meV/atom
space group	C2/m, No. 12

Lattice parameters (Å, degrees): 9.155 9.155 7.301 105.54 105.54 39.28
Fractional coordinates of all 11 atoms:
1 La 0.000 0.000 0.000
2 La 0.318 0.318 0.229
3 La 0.342 0.342 0.732
4 La 0.658 0.658 0.268
5 La 0.682 0.682 0.771
6 Ho 0.000 0.000 0.500
7 Sn 0.160 0.160 0.872
8 Sn 0.163 0.163 0.419
9 Sn 0.500 0.500 0.500
10 Sn 0.837 0.837 0.581
11 Sn 0.840 0.840 0.128